A:
## Sb2RuSeI (PBE-GGA)

Data for an optimized crystal structure of Sb2RuSeI.

As for the calculated density: 6506 kg/m3. As for the volume: 140.5 Å³/cell.

```
Sb2RuSeI
1.0
-4.1691 2.4031 1.7378
0.6457 -2.1905 4.5783
3.0366 4.1440 1.5545
Ru Sb I Se
1 2 1 1
Cartesian
0.0000 0.0000 0.0000 Ru
0.3229 -1.0953 2.2891 Sb
-2.0845 1.2015 0.8689 Sb
1.5183 2.0720 0.7772 I
-0.2434 2.1783 3.9353 Se
```

---

B:
## Sb2RuSeI (PBE-GGA)

Data for an optimized crystal structure of Sb2RuSeI.

As for the calculated density: 5625 kg/m3. As for the volume: 162.5 Å³/cell.

```
Sb2RuSeI
1.0
-1.3868 -5.1835 0.3333
4.7724 -1.1354 2.1996
-2.1444 0.9028 5.1186
Ru Sb I Se
1 2 1 1
Cartesian
0.6206 -2.7080 3.8257 Ru
2.3862 -0.5677 1.0998 Sb
-0.6934 -2.5917 0.1666 Sb
-1.0722 0.4514 2.5593 I
0.0000 0.0000 0.0000 Se
```

---

A is favored, and the nearest alternative lies 86.3 kJ/mol of atoms above it.

---

A:
## SnSbRuI2 (PBE-GGA)

Data for an optimized crystal structure of SnSbRuI2.

As for the calculated density: 4821 kg/m3. As for the volume: 205.1 Å³/cell.

```
SnSbRuI2
1.0
-1.5255 -3.5664 4.4531
0.8261 -4.6990 -3.4803
5.6209 -0.2749 1.7053
I Sn Ru Sb
2 1 1 1
Cartesian
-0.7627 -1.7832 2.2266 I
0.4130 -2.3495 -1.7402 I
0.0000 0.0000 0.0000 Sn
2.4607 -4.2702 1.3390 Ru
2.8104 -0.1375 0.8526 Sb
```

---

B:
## SnSbRuI2 (PBE-GGA)

Data for an optimized crystal structure of SnSbRuI2.

As for the calculated density: 6444 kg/m3. As for the volume: 153.4 Å³/cell.

```
SnSbRuI2
1.0
-4.5020 -1.4068 2.8577
0.5460 -5.2155 -1.7072
2.8702 -1.0159 4.0216
I Ru Sb Sn
2 1 1 1
Cartesian
-2.2510 -0.7034 1.4289 I
0.2730 -2.6077 -0.8536 I
0.0000 0.0000 0.0000 Ru
1.4351 -0.5079 2.0108 Sb
-0.5429 -3.8190 2.5861 Sn
```

---

B is favored, and the nearest alternative lies 78.5 kJ/mol of atoms above it.

---

A:
## SrSb2RuI (PBE-GGA)

Data for an optimized crystal structure of SrSb2RuI.

As for the calculated density: 4117 kg/m3. As for the volume: 225.5 Å³/cell.

```
SrSb2RuI
1.0
6.1141 0.0000 0.0000
0.0000 6.1141 0.0000
0.0000 0.0000 6.0322
Sr Ru I Sb
1 1 1 2
Cartesian
0.0000 0.0000 0.0000 Sr
3.0570 3.0570 3.0161 Ru
0.0000 0.0000 3.0161 I
3.0570 0.0000 0.0000 Sb
0.0000 3.0570 0.0000 Sb
```

---

B:
## SrSb2RuI (PBE-GGA)

Data for an optimized crystal structure of SrSb2RuI.

As for the calculated density: 5962 kg/m3. As for the volume: 155.7 Å³/cell.

```
SrSb2RuI
1.0
-3.6403 1.0668 -3.4335
-1.5169 -4.8857 0.0904
-3.7900 1.2583 4.4092
Sb Sr I Ru
2 1 1 1
Cartesian
-0.7585 -2.4428 0.0452 Sb
-1.8202 0.5334 -1.7168 Sb
-4.4736 -1.2803 0.5330 Sr
-1.8950 0.6292 2.2046 I
0.0000 0.0000 0.0000 Ru
```

---

B is favored, and the nearest alternative lies 147.1 kJ/mol of atoms above it.

---

A:
## YSb2RuI (PBE-GGA)

Data for an optimized crystal structure of YSb2RuI.

As for the calculated density: 6450 kg/m3. As for the volume: 144.3 Å³/cell.

```
YSb2RuI
1.0
-1.7436 -4.6616 -1.1565
-0.1329 -1.1830 4.9690
-5.1921 1.8663 0.3055
Sb Y Ru I
2 1 1 1
Cartesian
-0.0664 -0.5915 2.4845 Sb
-0.8718 -2.3308 -0.5782 Sb
-3.5343 -1.9892 2.0590 Y
0.0000 0.0000 0.0000 Ru
-2.5961 0.9331 0.1527 I
```

---

B:
## YSb2RuI (PBE-GGA)

Data for an optimized crystal structure of YSb2RuI.

As for the calculated density: 4727 kg/m3. As for the volume: 196.9 Å³/cell.

```
YSb2RuI
1.0
-0.8160 -0.6093 5.7463
-5.5833 -1.4125 -0.9426
1.4751 -5.5757 -0.3818
Sb I Ru Y
2 1 1 1
Cartesian
-0.4080 -0.3046 2.8731 Sb
-2.7916 -0.7063 -0.4713 Sb
0.7375 -2.7879 -0.1909 I
-2.4621 -3.7988 2.2110 Ru
0.0000 0.0000 0.0000 Y
```

---

A is favored, and the nearest alternative lies 82.0 kJ/mol of atoms above it.

---

A:
## ZnSbRuI2 (PBE-GGA)

Data for an optimized crystal structure of ZnSbRuI2.

As for the calculated density: 5692 kg/m3. As for the volume: 158.1 Å³/cell.

```
ZnSbRuI2
1.0
-1.0607 -4.8192 -2.3906
5.2408 -1.4754 0.6490
-1.1643 -2.0716 4.6927
I Sb Ru Zn
2 1 1 1
Cartesian
-0.5303 -2.4096 -1.1953 I
2.6204 -0.7377 0.3245 I
-0.5822 -1.0358 2.3463 Sb
1.5079 -4.1831 1.4756 Ru
0.0000 0.0000 0.0000 Zn
```

---

B:
## ZnSbRuI2 (PBE-GGA)

Data for an optimized crystal structure of ZnSbRuI2.

As for the calculated density: 5774 kg/m3. As for the volume: 155.9 Å³/cell.

```
ZnSbRuI2
1.0
-2.7552 3.2951 -3.5521
-0.5582 -4.2749 -3.5326
-4.3331 -1.2519 2.1997
Ru Zn Sb I
1 1 1 2
Cartesian
0.0000 0.0000 0.0000 Ru
-3.8233 -1.1159 -2.4425 Zn
-2.1666 -0.6260 1.0999 Sb
-0.2791 -2.1375 -1.7663 I
-1.3776 1.6475 -1.7760 I
```

---

B is favored, and the nearest alternative lies 65.6 kJ/mol of atoms above it.

---

A:
## Sc3RuI (PBE-GGA)

Data for an optimized crystal structure of Sc3RuI.

As for the calculated density: 4462 kg/m3. As for the volume: 135.0 Å³/cell.

```
Sc3RuI
1.0
-3.6057 3.6492 -0.0428
-2.8684 -2.7967 3.2047
2.2561 2.2763 4.0060
Sc Ru I
3 1 1
Cartesian
1.1281 1.1382 2.0030 Sc
-1.4342 -1.3984 1.6023 Sc
-1.8029 1.8246 -0.0214 Sc
-2.1090 1.5644 3.5839 Ru
0.0000 0.0000 0.0000 I
```

---

B:
## Sc3RuI (PBE-GGA)

Data for an optimized crystal structure of Sc3RuI.

As for the calculated density: 4589 kg/m3. As for the volume: 131.3 Å³/cell.

```
Sc3RuI
1.0
5.0827 0.0000 0.0000
0.0000 5.0827 0.0000
0.0000 0.0000 5.0827
I Sc Ru
1 3 1
Cartesian
2.5414 2.5414 2.5414 I
2.5414 0.0000 0.0000 Sc
0.0000 0.0000 2.5414 Sc
0.0000 2.5414 0.0000 Sc
0.0000 0.0000 0.0000 Ru
```

---

B is favored, and the nearest alternative lies 105.4 kJ/mol of atoms above it.

---

A:
## Sc2RuI (PBE-GGA)

Data for an optimized crystal structure of Sc2RuI.

As for the calculated density: 5572 kg/m3. As for the volume: 94.7 Å³/cell.

```
Sc2RuI
1.0
1.9750 0.0000 9.3481
-0.9875 1.7104 9.3481
-0.9875 -1.7104 9.3481
I Sc Ru
1 2 1
Cartesian
0.0000 0.0000 14.0221 I
0.0000 0.0000 25.7371 Sc
0.0000 0.0000 2.3071 Sc
0.0000 0.0000 0.0000 Ru
```

---

B:
## Sc2RuI (PBE-GGA)

Data for an optimized crystal structure of Sc2RuI.

As for the calculated density: 5371 kg/m3. As for the volume: 196.6 Å³/cell.

```
Sc2RuI
1.0
-1.1531 -6.8664 2.1202
3.6243 -2.4099 -5.8334
4.3992 -4.5710 0.0812
I Sc Ru
2 4 2
Cartesian
0.0000 0.0000 0.0000 I
2.2409 -8.0378 0.1724 I
0.8953 -5.3595 0.5002 Sc
3.1577 -3.8832 -3.2445 Sc
4.4246 -7.0388 -1.6509 Sc
5.2633 -11.4131 -2.8687 Sc
4.6296 -5.8095 -3.8044 Ru
1.2356 -4.6381 -1.8566 Ru
```

---

C:
## Sc2RuI (PBE-GGA)

Data for an optimized crystal structure of Sc2RuI.

As for the calculated density: 6447 kg/m3. As for the volume: 81.9 Å³/cell.

```
Sc2RuI
1.0
-0.5130 -3.2496 3.5965
0.1319 1.4662 4.6465
-4.0677 -0.0416 2.6850
I Sc Ru
1 2 1
Cartesian
-2.2244 -0.9124 5.4640 I
-1.1122 -0.4562 2.7320 Sc
-3.3366 -1.3687 8.1960 Sc
0.0000 0.0000 0.0000 Ru
```

---

D:
## Sc2RuI (PBE-GGA)

Data for an optimized crystal structure of Sc2RuI.

As for the calculated density: 4711 kg/m3. As for the volume: 112.1 Å³/cell.

```
Sc2RuI
1.0
1.5526 7.6527 3.5623
3.3641 5.1257 6.0062
5.1663 6.3042 2.6890
I Sc Ru
1 2 1
Cartesian
0.0000 0.0000 0.0000 I
8.9211 16.8838 10.8451 Sc
1.1619 2.1989 1.4124 Sc
5.0415 9.5413 6.1287 Ru
```

---

D is favored, and the nearest alternative lies 33.2 kJ/mol of atoms above it.

---

A:
## ScRuI2 (PBE-GGA)

Data for an optimized crystal structure of ScRuI2.

As for the calculated density: 6228 kg/m3. As for the volume: 213.2 Å³/cell.

```
ScRuI2
1.0
5.0692 0.0000 0.0000
0.0000 5.0692 0.0000
2.5346 2.5346 8.2968
Sc Ru I
2 2 4
Cartesian
2.5346 5.0692 4.1484 Sc
2.5346 2.5346 0.0000 Sc
5.0692 2.5346 4.1484 Ru
0.0000 0.0000 0.0000 Ru
3.9170 1.2673 2.0742 I
1.1522 3.8019 2.0742 I
3.8019 3.6868 6.2226 I
6.3365 6.4516 6.2226 I
```

---

B:
## ScRuI2 (PBE-GGA)

Data for an optimized crystal structure of ScRuI2.

As for the calculated density: 7523 kg/m3. As for the volume: 88.3 Å³/cell.

```
ScRuI2
1.0
0.0000 3.5337 3.5337
3.5337 0.0000 3.5337
3.5337 3.5337 0.0000
I Sc Ru
2 1 1
Cartesian
1.7669 1.7669 1.7669 I
5.3006 5.3006 5.3006 I
0.0000 0.0000 0.0000 Sc
3.5337 3.5337 3.5337 Ru
```

---

A is favored, and the nearest alternative lies 5.0 kJ/mol of atoms above it.

---

A:
## Ru2SeI (PBE-GGA)

Data for an optimized crystal structure of Ru2SeI.

As for the calculated density: 9776 kg/m3. As for the volume: 69.3 Å³/cell.

```
Ru2SeI
1.0
0.0000 3.2602 3.2602
3.2602 0.0000 3.2602
3.2602 3.2602 0.0000
Ru Se I
2 1 1
Cartesian
4.8902 4.8902 4.8902 Ru
1.6301 1.6301 1.6301 Ru
0.0000 0.0000 0.0000 Se
3.2602 3.2602 3.2602 I
```

---

B:
## Ru2SeI (PBE-GGA)

Data for an optimized crystal structure of Ru2SeI.

As for the calculated density: 7339 kg/m3. As for the volume: 184.6 Å³/cell.

```
Ru2SeI
1.0
-0.9728 -4.0030 3.4465
3.9443 1.7805 3.1813
-2.7007 2.5909 6.4323
Ru I Se
4 2 2
Cartesian
0.3823 -0.0883 10.4684 Ru
1.6210 1.0651 4.1952 Ru
-0.7189 1.1965 7.4647 Ru
-0.7427 -1.4365 3.9918 Ru
-1.0938 -1.2617 6.5963 I
0.0000 0.0000 0.0000 I
1.4857 -1.1112 3.3139 Se
1.3647 1.6301 6.4637 Se
```

---

B is favored, and the nearest alternative lies 20.2 kJ/mol of atoms above it.

---

A:
## Si2RuI (PBE-GGA)

Data for an optimized crystal structure of Si2RuI.

As for the calculated density: 6669 kg/m3. As for the volume: 70.8 Å³/cell.

```
Si2RuI
1.0
0.0000 3.2828 3.2828
3.2828 0.0000 3.2828
3.2828 3.2828 0.0000
Si Ru I
2 1 1
Cartesian
1.6414 1.6414 1.6414 Si
4.9242 4.9242 4.9242 Si
0.0000 0.0000 0.0000 Ru
3.2828 3.2828 3.2828 I
```

---

B:
## Si2RuI (PBE-GGA)

Data for an optimized crystal structure of Si2RuI.

As for the calculated density: 4473 kg/m3. As for the volume: 211.0 Å³/cell.

```
Si2RuI
1.0
5.9901 0.0000 0.0000
0.0000 5.9901 0.0000
2.9951 2.9951 5.8801
Ru Si I
2 4 2
Cartesian
2.9951 2.9951 0.0000 Ru
2.9951 5.9901 2.9400 Ru
2.1526 4.4926 1.4700 Si
4.4926 5.1477 4.4101 Si
7.4876 6.8325 4.4101 Si
3.8375 1.4975 1.4700 Si
5.9901 2.9951 2.9400 I
0.0000 0.0000 0.0000 I
```

---

B is favored, and the nearest alternative lies 69.9 kJ/mol of atoms above it.

---

A:
## SiRu2I (PBE-GGA)

Data for an optimized crystal structure of SiRu2I.

As for the calculated density: 9253 kg/m3. As for the volume: 64.1 Å³/cell.

```
SiRu2I
1.0
-0.3647 -0.3053 4.4667
1.4636 3.3522 2.6073
-2.9435 2.5874 2.1952
Ru I Si
2 1 1
Cartesian
-1.3834 4.2257 6.9519 Ru
-0.4611 1.4086 2.3173 Ru
-0.9223 2.8172 4.6346 I
0.0000 0.0000 0.0000 Si
```

---

B:
## SiRu2I (PBE-GGA)

Data for an optimized crystal structure of SiRu2I.

As for the calculated density: 6804 kg/m3. As for the volume: 174.3 Å³/cell.

```
SiRu2I
1.0
5.4036 0.0000 0.0000
0.0000 5.4036 0.0000
2.7018 2.7018 5.9702
Si Ru I
2 4 2
Cartesian
2.7018 5.4036 2.9851 Si
2.7018 2.7018 0.0000 Si
1.6140 4.0527 1.4925 Ru
3.7896 1.3509 1.4925 Ru
6.7545 6.4914 4.4776 Ru
4.0527 4.3158 4.4776 Ru
0.0000 0.0000 0.0000 I
5.4036 2.7018 2.9851 I
```

---

B is favored, and the nearest alternative lies 9.1 kJ/mol of atoms above it.

---

A:
## SiRuI2 (PBE-GGA)

Data for an optimized crystal structure of SiRuI2.

As for the calculated density: 7031 kg/m3. As for the volume: 90.4 Å³/cell.

```
SiRuI2
1.0
0.0000 3.5628 3.5628
3.5628 0.0000 3.5628
3.5628 3.5628 0.0000
Ru Si I
1 1 2
Cartesian
3.5628 3.5628 3.5628 Ru
0.0000 0.0000 0.0000 Si
1.7814 1.7814 1.7814 I
5.3442 5.3442 5.3442 I
```

---

B:
## SiRuI2 (PBE-GGA)

Data for an optimized crystal structure of SiRuI2.

As for the calculated density: 5013 kg/m3. As for the volume: 253.7 Å³/cell.

```
SiRuI2
1.0
6.5199 0.0000 0.0000
0.0000 6.5199 0.0000
3.2599 3.2599 5.9680
I Si Ru
4 2 2
Cartesian
5.1905 1.6300 1.4920 I
8.1498 8.4504 4.4760 I
1.3294 4.8899 1.4920 I
4.8899 4.5893 4.4760 I
3.2599 3.2599 0.0000 Si
3.2599 6.5199 2.9840 Si
0.0000 0.0000 0.0000 Ru
6.5199 3.2599 2.9840 Ru
```

---

B is favored, and the nearest alternative lies 6.0 kJ/mol of atoms above it.

---

A:
## SnRuI3 (PBE-GGA)

Data for an optimized crystal structure of SnRuI3.

As for the calculated density: 6378 kg/m3. As for the volume: 156.4 Å³/cell.

```
SnRuI3
1.0
-3.2353 -2.6223 3.4174
4.3047 -2.1242 2.4454
0.1572 4.1993 3.3710
Sn I Ru
1 3 1
Cartesian
0.6133 -0.2736 4.6169 Sn
-1.6177 -1.3111 1.7087 I
0.0786 2.0996 1.6855 I
2.1523 -1.0621 1.2227 I
0.0000 0.0000 0.0000 Ru
```

---

B:
## SnRuI3 (PBE-GGA)

Data for an optimized crystal structure of SnRuI3.

As for the calculated density: 4457 kg/m3. As for the volume: 223.7 Å³/cell.

```
SnRuI3
1.0
-0.8367 -0.6572 5.9766
1.5368 -5.8571 -0.4289
5.8129 1.4539 0.9736
I Ru Sn
3 1 1
Cartesian
0.7684 -2.9285 -0.2144 I
2.9064 0.7270 0.4868 I
-0.4183 -0.3286 2.9883 I
3.2565 -2.5302 3.2606 Ru
0.0000 0.0000 0.0000 Sn
```

---

A is favored, and the nearest alternative lies 50.7 kJ/mol of atoms above it.